Record 1
A PBEsol-optimized structure of BeSb2, computed with SCAN.

CIF file:
```
data_BeSb2
_chemical_formula_sum 'Be3 Sb6'
_cell_length_a 4.647
_cell_length_b 6.910
_cell_length_c 6.910
_cell_angle_alpha 120.00
_cell_angle_beta 90.00
_cell_angle_gamma 90.00
_symmetry_space_group_name_H-M 'P 1'
_symmetry_Int_Tables_number 1
_symmetry_space_group_name_Hall 'P 1'
loop_
_atom_site_label
_atom_site_type_symbol
_atom_site_fract_x
_atom_site_fract_y
_atom_site_fract_z
Sb1 Sb 0.000 0.711 0.711
Sb2 Sb 0.000 0.000 0.289
Sb3 Sb 0.000 0.289 0.000
Sb4 Sb 0.500 0.374 0.374
Sb5 Sb 0.500 0.000 0.626
Sb6 Sb 0.500 0.626 0.000
Be1 Be 0.000 0.667 0.333
Be2 Be 0.000 0.333 0.667
Be3 Be 0.500 0.000 0.000
```

ΔE_f (raw), meV/atom: 465.3



Record 2
A PBEsol-optimized structure of Zr2H2Rh, computed with SCAN.

CIF file:
```
data_Zr2H2Rh
_chemical_formula_sum 'Zr2 H2 Rh1'
_cell_length_a 3.152
_cell_length_b 3.152
_cell_length_c 6.522
_cell_angle_alpha 103.98
_cell_angle_beta 103.98
_cell_angle_gamma 90.00
_symmetry_space_group_name_H-M 'P 1'
_symmetry_Int_Tables_number 1
_symmetry_space_group_name_Hall 'P 1'
loop_
_atom_site_label
_atom_site_type_symbol
_atom_site_fract_x
_atom_site_fract_y
_atom_site_fract_z
H1 H 0.250 0.750 0.500
H2 H 0.750 0.250 0.500
Rh1 Rh 0.000 0.000 0.000
Zr1 Zr 0.361 0.361 0.721
Zr2 Zr 0.639 0.639 0.279
```

DFT total energy, eV per atom: -21.141



Copy entry 1 word for word.
A PBEsol-optimized structure of BeSb2, computed with SCAN.

CIF file:
```
data_BeSb2
_chemical_formula_sum 'Be3 Sb6'
_cell_length_a 4.647
_cell_length_b 6.910
_cell_length_c 6.910
_cell_angle_alpha 120.00
_cell_angle_beta 90.00
_cell_angle_gamma 90.00
_symmetry_space_group_name_H-M 'P 1'
_symmetry_Int_Tables_number 1
_symmetry_space_group_name_Hall 'P 1'
loop_
_atom_site_label
_atom_site_type_symbol
_atom_site_fract_x
_atom_site_fract_y
_atom_site_fract_z
Sb1 Sb 0.000 0.711 0.711
Sb2 Sb 0.000 0.000 0.289
Sb3 Sb 0.000 0.289 0.000
Sb4 Sb 0.500 0.374 0.374
Sb5 Sb 0.500 0.000 0.626
Sb6 Sb 0.500 0.626 0.000
Be1 Be 0.000 0.667 0.333
Be2 Be 0.000 0.333 0.667
Be3 Be 0.500 0.000 0.000
```

ΔE_f (raw), meV/atom: 465.3